--- 1 ---
First-principles (GGA-PBE) data for a relaxed structure of VPdRu, as listed in the Alexandria database.

Summary:
V (Å³/cell): 171.2
Crystal system: monoclinic
Magnetic moment (μB/atom): 0.000

Unit cell a=13.3418 b=2.9162 c=4.4777 alpha=90.00 beta=100.64 gamma=90.00
With the nearest neighbours (Å) after each atom.
Space group C2/m (No. 12)
One atom of each set of equivalent atoms:
1 V 0.0846 0.0000 0.3079 [4 per cell]  6 Ru 2.49-2.70, 3 Pd 2.68-2.69
2 Pd 0.2486 0.5000 0.2504 [4 per cell]  6 Pd 2.66-2.92, 3 V 2.68-2.69, 3 Ru 2.85-2.87
3 Ru 0.0690 0.5000 0.7931 [4 per cell]  6 V 2.49-2.70


--- 2 ---
First-principles (GGA-PBE) data for a relaxed structure of VPdRu, as listed in the Alexandria database.

Summary:
V (Å³/cell): 42.8
Crystal system: trigonal
Magnetic moment (μB/atom): 0.000

Unit cell a=4.3230 b=4.3230 c=2.6419 alpha=90.00 beta=90.00 gamma=120.00
With the nearest neighbours (Å) after each atom.
Space group P3m1 (No. 156)
One atom of each set of equivalent atoms:
1 V 0.0000 0.0000 0.0000 [1 per cell]  3 Pd 2.56, 3 Ru 2.62, 2 V 2.64
2 Pd 0.6667 0.3333 0.7879 [1 per cell]  3 V 2.56, 2 Pd 2.64, 6 Ru 2.80-2.85
3 Ru 0.3333 0.6667 0.3069 [1 per cell]  3 V 2.62, 2 Ru 2.64, 6 Pd 2.80-2.85


--- 3 ---
First-principles (GGA-PBE) data for a relaxed structure of VPdRu, as listed in the Alexandria database.

Summary:
V (Å³/cell): 87.1
Crystal system: tetragonal
Magnetic moment (μB/atom): 0.000

Unit cell a=2.8401 b=2.8401 c=10.7971 alpha=90.00 beta=90.00 gamma=90.00
With the nearest neighbours (Å) after each atom.
Space group I4mm (No. 107)
One atom of each set of equivalent atoms:
1 V 0.0000 0.0000 0.0000 [2 per cell]  4 Ru 2.48, 4 Pd 2.73
2 Pd 0.0000 0.0000 0.3285 [2 per cell]  4 V 2.73, 4 Pd 2.84, 4 Ru 2.90
3 Ru 0.0000 0.0000 0.6351 [2 per cell]  4 V 2.48


--- 4 ---
First-principles (GGA-PBE) data for a relaxed structure of VPdRu, as listed in the Alexandria database.

Summary:
V (Å³/cell): 171.0
Crystal system: monoclinic
Magnetic moment (μB/atom): 0.000

Unit cell a=9.8489 b=2.7903 c=6.3957 alpha=90.00 beta=103.38 gamma=90.00
With the nearest neighbours (Å) after each atom.
Space group Cm (No. 8)
One atom of each set of equivalent atoms:
1 V 0.0000 0.0000 0.0000 [2 per cell]  3 Ru 2.44-2.64, 2 Pd 2.70
2 V 0.1791 0.5000 0.3181 [2 per cell]  5 Ru 2.54-2.82, 3 Pd 2.72-2.83, 4 V 2.75-2.79
3 Pd 0.1213 0.5000 0.7315 [2 per cell]  5 Pd 2.68-2.79, 3 V 2.70-2.83, 4 Ru 2.75-2.81
4 Pd 0.3419 0.0000 0.6480 [2 per cell]  5 Pd 2.68-2.79, 4 V 2.72-2.80, 3 Ru 2.79-2.85
5 Ru 0.2865 0.0000 0.0658 [2 per cell]  5 V 2.54-2.76, 4 Ru 2.72-2.79, 2 Pd 2.75
6 Ru 0.4710 0.5000 0.3692 [2 per cell]  3 V 2.44-2.56, 2 Ru 2.72


Stability, lowest: 2